VASP calculation (PBE) on an optimized crystal structure of CrB.

Output
M_tot ... 0.00 μB per cell
ΔH_f (0 K) ... 114 meV/atom
Fermi-level density of states ... 0.788 states/eV per atom

abc: 2.6995 2.6995 2.3403
angles: 90.00 90.00 90.00
Closest atoms and distances in Å follow each position.
Space group P4/mmm (No. 123)
One atom of each set of equivalent atoms:
Cr (0.0000, 0.0000, 0.0000)  8 B 2.24, 2 Cr 2.34
B (0.5000, 0.5000, 0.5000)  8 Cr 2.24, 2 B 2.34